[1]
Below is an optimized crystal structure of NaPbSeO4, with properties calculated at the PBE level.

Values from the calculation:
space group: Imma (74)

a b c (Å): 7.048 6.765 6.765
angles (deg): 58.37 58.60 58.60
Element x y z (fractional)
Se 0.625 0.625 0.125
O 0.685 0.271 0.771
O 0.273 0.271 0.771
Na 0.500 0.000 0.500
O 0.266 0.271 0.196
O 0.727 0.729 0.229
O 0.315 0.729 0.229
O 0.266 0.696 0.771
O 0.734 0.304 0.229
Pb 0.000 0.000 0.000
Na 0.000 0.000 0.500
Se 0.375 0.375 0.875
O 0.734 0.729 0.804
Pb 0.000 0.500 0.500

=====

[2]
Below is an optimized crystal structure of NaSi2PbO6, with properties calculated at the PBE level.

Values from the calculation:
space group: C2/c (15)

a b c (Å): 5.324 7.251 7.251
angles (deg): 87.94 79.63 79.63
Each line ends with the local moment (μB).
Element x y z (fractional)
O 0.170 0.980 0.772  0.07
Pb 0.250 0.275 0.725  0.22
Si 0.252 0.369 0.199  0.00
O 0.830 0.020 0.228  0.07
O 0.508 0.353 0.306  0.02
O 0.663 0.145 0.590  0.23
Pb 0.750 0.725 0.275  0.22
O 0.330 0.228 0.020  0.07
Si 0.248 0.801 0.631  0.00
Na 0.250 0.911 0.089  0.00
O 0.837 0.410 0.855  0.23
O 0.670 0.772 0.980  0.07
O 0.337 0.855 0.410  0.23
Si 0.752 0.199 0.369  0.00
O 0.992 0.694 0.647  0.02
O 0.492 0.647 0.694  0.02
Na 0.750 0.089 0.911  0.00
Si 0.748 0.631 0.801  0.00
O 0.008 0.306 0.353  0.02
O 0.163 0.590 0.145  0.23

=====

What total magnetization values result from the calculations? In sequence: 0.00; 2.06 μB/cell.
What V values result from the calculations? In sequence: 15.741; 13.543 Å³/atom.
What calculated total energy values result from the calculations? In sequence: -35.12; -67.05 eV/f.u..